1.
The following is a DFT calculation (PBE-GGA) of a geometry-optimized TiTc3As structure.

```
5
Lattice="-1.262 -1.301 -4.118 4.261 0.321 -1.408 0.701 -4.295 1.142" Properties=species:S:1:pos:R:3 pbc="T T T"
As 0.000 0.000 0.000
Tc 2.131 0.160 -0.704
Tc 0.350 -2.147 0.571
Tc -0.631 -0.651 -2.059
Ti 1.850 -2.638 -2.192
```

Calculated values
Density of states at the Fermi level in states/eV/atom: 0.912
E_form in eV/atom: 0.7967

=====

2.
The following is a DFT calculation (PBE-GGA) of a geometry-optimized TmMnSi3Rh structure.

```
12
Lattice="5.356 0.000 0.000 0.000 7.444 0.000 0.000 -3.722 5.384" Properties=species:S:1:pos:R:3 pbc="T T T"
Tm 4.017 0.000 2.508
Tm 1.339 3.722 2.876
Mn 1.339 0.000 0.500
Mn 4.017 3.722 4.884
Si 1.339 0.000 2.609
Si 0.000 1.793 0.000
Si 2.678 5.650 0.000
Si 2.678 1.793 0.000
Si 0.000 5.650 0.000
Si 4.017 3.722 2.775
Rh 1.339 0.000 4.801
Rh 4.017 3.722 0.583
```

Calculated values
Density of states at the Fermi level in states/eV/atom: 0.486

=====

3.
The following is a DFT calculation (PBE-GGA) of a geometry-optimized Cd4Pd structure.

```
10
Lattice="5.696 0.000 0.000 0.000 5.696 0.000 -2.848 -2.848 6.624" Properties=species:S:1:pos:R:3 pbc="T T T"
Cd -0.731 4.233 2.257
Cd -1.385 -0.731 5.569
Cd 3.579 1.463 1.055
Cd -1.385 2.117 4.367
Cd 1.385 0.731 5.569
Cd 2.117 4.233 1.055
Cd 1.385 3.579 4.367
Cd 0.731 1.463 2.257
Pd 2.848 0.000 3.312
Pd 0.000 0.000 0.000
```

Calculated values
Density of states at the Fermi level in states/eV/atom: 0.315
E_form in eV/atom: -0.1325

=====

4.
The following is a DFT calculation (PBE-GGA) of a geometry-optimized Rb4LiPa3O8 structure.

```
16
Lattice="-6.417 0.771 -3.203 -2.335 -6.803 3.040 2.380 5.050 4.571" Properties=species:S:1:pos:R:3 pbc="T T T"
Rb -3.209 0.386 -1.601
Rb -2.019 2.911 0.684
Rb 0.000 0.000 0.000
Rb 1.190 2.525 2.285
Li -1.167 -3.402 1.520
Pa -4.376 -3.016 -0.082
Pa -3.186 -0.491 2.204
Pa 0.023 -0.876 3.805
O -0.839 0.359 5.519
O -1.939 -1.972 3.411
O -1.222 0.771 2.634
O -3.803 0.716 4.039
O -2.569 -1.697 0.368
O -5.150 -1.752 1.774
O -4.433 0.990 0.997
O -5.534 -1.341 -1.111
```

Calculated values
Density of states at the Fermi level in states/eV/atom: 0.491

=====

5.
The following is a DFT calculation (PBE-GGA) of a geometry-optimized LuTc2C structure.

```
4
Lattice="3.177 0.000 0.000 1.588 2.751 0.000 1.588 0.917 7.032" Properties=species:S:1:pos:R:3 pbc="T T T"
C 0.000 0.000 0.000
Lu 3.177 1.834 3.516
Tc 4.765 2.751 5.980
Tc 1.588 0.917 1.052
```

Calculated values
Density of states at the Fermi level in states/eV/atom: 0.461
E_form in eV/atom: 0.0972

=====

6.
The following is a DFT calculation (PBE-GGA) of a geometry-optimized TbSiB structure.

```
3
Lattice="4.156 0.000 0.000 0.000 3.563 0.000 0.000 -1.782 3.086" Properties=species:S:1:pos:R:3 pbc="T T T"
Si 0.692 0.000 0.000
B 0.694 1.782 1.029
Tb 2.770 0.000 2.057
```

Calculated values
Density of states at the Fermi level in states/eV/atom: 0.138

=====

7.
The following is a DFT calculation (PBE-GGA) of a geometry-optimized Rb2CaWI6 structure.

```
10
Lattice="-2.163 -2.375 -7.702 5.478 -6.282 0.399 -2.523 -7.831 -1.398" Properties=species:S:1:pos:R:3 pbc="T T T"
I -0.536 -6.166 -2.469
I 1.328 -10.322 -6.231
I 0.788 -2.058 -1.736
I 2.527 -6.600 -5.567
I -0.347 -3.304 -5.776
I 3.662 -5.354 -1.526
Ca 1.658 -4.329 -3.651
Rb -1.514 -7.267 -6.375
Rb 2.306 -9.221 -2.325
W 0.000 0.000 0.000
```

Calculated values
Density of states at the Fermi level in states/eV/atom: 0.487

=====

8.
The following is a DFT calculation (PBE-GGA) of a geometry-optimized NaV2Ga2 structure.

```
10
Lattice="7.930 0.000 0.000 0.000 7.930 0.000 0.000 0.000 2.653" Properties=species:S:1:pos:R:3 pbc="T T T"
Na 0.000 0.000 0.000
Na 3.965 3.965 0.000
Ga 2.514 6.479 0.000
Ga 6.479 5.416 0.000
Ga 5.416 1.451 0.000
Ga 1.451 2.514 0.000
V 0.852 4.817 1.327
V 4.817 7.078 1.327
V 7.078 3.113 1.327
V 3.113 0.852 1.327
```

Calculated values
Density of states at the Fermi level in states/eV/atom: 0.912
E_form in eV/atom: 0.0396

=====

9.
The following is a DFT calculation (PBE-GGA) of a geometry-optimized TmTl2SnTe4 structure.

```
8
Lattice="4.372 0.000 0.000 0.000 8.374 -0.384 0.000 2.734 7.373" Properties=species:S:1:pos:R:3 pbc="T T T"
Tm 0.000 5.554 3.495
Tl 0.000 2.734 7.373
Tl 2.186 1.367 3.687
Sn 2.186 6.921 7.181
Te 0.000 8.056 5.280
Te 4.372 3.052 1.709
Te 2.186 6.700 1.694
Te 2.186 4.408 5.295
```

Calculated values
Density of states at the Fermi level in states/eV/atom: 0.543

=====

10.
The following is a DFT calculation (PBE-GGA) of a geometry-optimized ScBeP structure.

```
3
Lattice="4.036 0.000 0.000 2.018 3.495 0.000 2.018 1.165 3.295" Properties=species:S:1:pos:R:3 pbc="T T T"
Sc 0.000 0.000 0.000
P 2.018 1.165 0.824
Be 4.036 2.330 1.648
```

Calculated values
Density of states at the Fermi level in states/eV/atom: 0.436
E_form in eV/atom: -0.3060

=====

11.
The following is a DFT calculation (PBE-GGA) of a geometry-optimized SiNi3Rh structure.

```
5
Lattice="-2.057 -2.589 3.045 -0.096 -3.392 -2.949 3.996 -1.414 1.497" Properties=species:S:1:pos:R:3 pbc="T T T"
Ni -0.048 -1.696 -1.474
Ni 1.998 -0.707 0.748
Ni -1.028 -1.295 1.523
Si 0.921 -3.697 0.797
Rh 0.000 0.000 0.000
```

Calculated values
Density of states at the Fermi level in states/eV/atom: 1.239

=====

12.
The following is a DFT calculation (PBE-GGA) of a geometry-optimized K3SmTm2S6 structure.

```
12
Lattice="7.010 -0.001 0.000 -3.504 6.071 0.000 -1.169 -2.025 7.369" Properties=species:S:1:pos:R:3 pbc="T T T"
K -2.347 4.053 3.685
K 4.684 -0.008 3.685
K 1.168 2.023 3.685
Sm 0.000 0.000 0.000
Tm -0.001 4.048 0.000
Tm 3.507 2.022 0.000
S 3.534 1.970 5.887
S 2.307 3.995 1.482
S -1.198 2.075 1.483
S -0.060 4.046 5.887
S 0.029 0.051 5.887
S 2.396 0.000 1.483
```

Calculated values
Density of states at the Fermi level in states/eV/atom: 0.000

=====

no.,total energy (eV per atom)
1,-7.93
2,-6.58
3,-1.90
4,-6.99
5,-8.52
6,-6.24
7,-3.38
8,-5.08
9,-3.85
10,-5.46
11,-4.69
12,-5.35